No. 1
VASP calculation (GGA-PBE) on an optimized crystal structure of LaSi2W.

Properties
- Formation energy from raw total energies: 565 meV per atom
- Theoretical density: 8.54 g/cm³

Unit cell a=4.706 b=4.706 c=4.706 alpha=60.00 beta=60.00 gamma=60.00
Atoms (fractional coordinates):
Si 0.250 0.250 0.250
Si 0.000 0.000 0.000
W 0.750 0.750 0.750
La 0.500 0.500 0.500

***

No. 2
VASP calculation (GGA-PBE) on an optimized crystal structure of La2Si2W.

Properties
- Formation energy from raw total energies: -242 meV per atom
- Theoretical density: 7.65 g/cm³

Unit cell a=6.984 b=6.984 c=4.611 alpha=90.00 beta=90.00 gamma=90.00
Atoms (fractional coordinates):
W 0.500 0.500 0.000
W 0.000 0.000 0.000
La 0.181 0.681 0.500
La 0.681 0.819 0.500
La 0.319 0.181 0.500
La 0.819 0.319 0.500
Si 0.872 0.628 0.000
Si 0.628 0.128 0.000
Si 0.372 0.872 0.000
Si 0.128 0.372 0.000